This record from Alexandria describes a relaxed CaU2P3 crystal. The functional is PBE.

Unit cell a=5.625 b=11.970 c=7.965 alpha=90.00 beta=90.02 gamma=90.00
Space group P2_1/c (No. 14)
Asymmetric unit:
Ca 0.250 0.079 0.124
U 0.250 0.084 0.623
U 0.251 0.746 0.625
P 0.249 0.248 0.875
P 0.250 0.588 0.883
P 0.250 0.589 0.362

Values from the calculation:
- ΔE_f: -1.0021 eV/atom
- Total magnetization: 17.4 μB/cell